1.
Ca3ScU2P6 | GGA-PBE | relaxed

Structure (CIF):
```
data_Ca3ScU2P6
_cell_length_a 6.9038
_cell_length_b 11.9550
_cell_length_c 7.0022
_cell_angle_alpha 90.00
_cell_angle_beta 109.16
_cell_angle_gamma 90.00
_space_group_name_H-M_alt 'C 1 2/m 1'
_space_group_IT_number 12
loop_
_space_group_symop_operation_xyz
'x,y,z'
'-x,-y,-z'
'-x,y,-z'
'x,-y,z'
'x+1/2,y+1/2,z'
'-x+1/2,-y+1/2,-z'
'-x+1/2,y+1/2,-z'
'x+1/2,-y+1/2,z'
loop_
_atom_site_label
_atom_site_fract_x
_atom_site_fract_y
_atom_site_fract_z
Ca1 0.0000 0.0000 0.0000
Ca2 0.0000 0.3339 0.0000
Sc1 0.0000 0.5000 0.5000
U1 0.0000 0.1667 0.5000
P1 0.2414 0.0000 0.7246
P2 0.2414 0.3333 0.7238
```

Total magnetization = 6.0 Bohr magnetons per cell
Energy of formation from the pure elements = -1142 meV per atom
Uncorrected energy = -81.08 eV/f.u.



2.
Ca3ScU3P8 | GGA-PBE | relaxed

Structure (CIF):
```
data_Ca3ScU3P8
_cell_length_a 7.9481
_cell_length_b 7.9481
_cell_length_c 19.8722
_cell_angle_alpha 90.00
_cell_angle_beta 90.00
_cell_angle_gamma 120.00
_space_group_name_H-M_alt 'R -3 m'
_space_group_IT_number 166
_space_group_name_Hall '-R 3 2"'
loop_
_atom_site_label
_atom_site_fract_x
_atom_site_fract_y
_atom_site_fract_z
Ca1 0.0000 0.5000 0.0000
Sc1 0.0000 0.0000 0.5000
U1 0.0000 0.5000 0.5000
P1 0.0000 0.0000 0.2429
P2 0.0020 0.5010 0.7614
```

Total magnetization = 9.0 Bohr magnetons per cell
Energy of formation from the pure elements = -932 meV per atom
Uncorrected energy = -103.46 eV/f.u.